No. 1
This record from OQMD via LeMat-Bulk describes an optimized crystal structure of Hf2Ge2Os. The functional is GGA-PBE.

Properties
- Electronic total energy: -41.3 eV per cell

Cell: 8.1398 8.1398 8.1398 Å, 155.63 155.63 34.74°
Fractional coordinates of all 5 atoms:
Ge1 0.7500 0.2500 0.5000
Ge2 0.2500 0.7500 0.5000
Hf1 0.3986 0.3986 0.0000
Hf2 0.6014 0.6014 0.0000
Os1 0.0000 0.0000 0.0000

No. 2
This record from OQMD via LeMat-Bulk describes an optimized crystal structure of HfGeOs. The functional is GGA-PBE.

Properties
- Electronic total energy: -82.7 eV per cell

Cell: 6.7038 6.7038 3.8167 Å, 90.00 90.00 120.00°
Fractional coordinates of all 9 atoms:
Ge1 0.6667 0.3333 0.0000
Ge2 0.3333 0.6667 0.0000
Ge3 0.0000 0.0000 0.5000
Hf1 0.5802 0.0000 0.5000
Hf2 0.4198 0.4198 0.5000
Hf3 0.0000 0.5802 0.5000
Os1 0.2466 0.0000 0.0000
Os2 0.0000 0.2466 0.0000
Os3 0.7534 0.7534 0.0000

No. 3
This record from OQMD via LeMat-Bulk describes an optimized crystal structure of Hf2Ge2Os. The functional is GGA-PBE.

Properties
- Electronic total energy: -86.6 eV per cell

Cell: 6.4423 6.4423 4.1618 Å, 90.00 90.00 90.00°
Fractional coordinates of all 10 atoms:
Ge1 0.6371 0.1371 0.0000
Ge2 0.1371 0.3629 0.0000
Ge3 0.8629 0.6371 0.0000
Ge4 0.3629 0.8629 0.0000
Hf1 0.3265 0.1735 0.5000
Hf2 0.8265 0.3265 0.5000
Hf3 0.1735 0.6735 0.5000
Hf4 0.6735 0.8265 0.5000
Os1 0.0000 0.0000 0.0000
Os2 0.5000 0.5000 0.0000

No. 4
This record from OQMD via LeMat-Bulk describes an optimized crystal structure of HfGeOs. The functional is GGA-PBE.

Properties
- Electronic total energy: -25.5 eV per cell

Cell: 4.2821 4.2821 4.2821 Å, 60.00 60.00 60.00°
Fractional coordinates of all 3 atoms:
Ge1 0.0000 0.0000 0.0000
Hf1 0.2500 0.2500 0.2500
Os1 0.7500 0.7500 0.7500